No. 1
ScRe2Pt: optimized geometry, PBE-GGA.

Output
Total magnetization   0.000 μB/atom
Calculated density   15.680 g/cm³
ΔE_f   -9 kJ per mole of atoms
Energy relative to the lowest polymorph listed for this composition   167 meV per atom

abc: 9.234 9.234 9.234
angles: 17.89 17.89 17.89
Sites, in units of the cell vectors:
Pt 0.750 0.750 0.750
Re 0.996 0.996 0.996
Re 0.254 0.254 0.254
Sc 0.500 0.500 0.500

No. 2
ScRe2Pt: optimized geometry, PBE-GGA.

Output
Total magnetization   0.000 μB/atom
Calculated density   15.494 g/cm³
ΔE_f   19 kJ per mole of atoms
Energy relative to the lowest polymorph listed for this composition   455 meV per atom

abc: 3.347 3.347 5.860
angles: 90.00 90.00 90.00
Sites, in units of the cell vectors:
Pt 0.500 0.500 0.750
Re 0.000 0.000 0.979
Re 0.000 0.000 0.521
Sc 0.500 0.500 0.250

No. 3
ScRePt: optimized geometry, PBE-GGA.

Output
Total magnetization   0.000 μB/atom
Calculated density   13.958 g/cm³
ΔE_f   -24 kJ per mole of atoms
Energy relative to the lowest polymorph listed for this composition   110 meV per atom

abc: 4.579 4.579 2.793
angles: 90.00 90.00 120.00
Sites, in units of the cell vectors:
Pt 0.000 0.000 0.167
Re 0.667 0.333 0.167
Sc 0.333 0.667 0.667